1.
## AcTm2Sn2Hg2 (PBE-GGA)

Data for AcTm2Sn2Hg2 after structural relaxation.

abc: 9.5166 9.5166 9.5166
angles: 30.86 30.86 30.86
Positions (direct):
Ac  0.0000  0.0000  0.0000
Tm  0.1335  0.1335  0.1335
Tm  0.8665  0.8665  0.8665
Sn  0.2610  0.2610  0.2610
Sn  0.7390  0.7390  0.7390
Hg  0.4388  0.4388  0.4388
Hg  0.5612  0.5612  0.5612

Computed properties:
Energy of formation ... -240 kJ/mol of formula units
Space-group type ... No. 166
DOS(E_F) ... 5.8 states/eV/f.u.

=====

2.
## Ho3PS (PBE-GGA)

Data for Ho3PS after structural relaxation.

abc: 6.4345 6.4345 3.5571
angles: 90.00 90.00 120.00
Positions (direct):
Ho  0.9999  0.6693  0.0000
Ho  0.3307  0.3305  0.0000
Ho  0.6695  0.0001  0.0000
P  0.0000  0.0000  0.5000
S  0.6667  0.3333  0.5000

Computed properties:
Space-group type ... No. 174
Uncorrected formation energy ... -105.8 kJ/mol of atoms
DOS(E_F) ... 4.9 states/eV/f.u.

=====

3.
## VZnNi (PBE-GGA)

Data for VZnNi after structural relaxation.

abc: 11.9689 11.9689 11.9689
angles: 167.57 167.57 17.62
Positions (direct):
V  0.2069  0.2069  0.0000
V  0.7931  0.7931  0.0000
Zn  0.0561  0.0561  0.0000
Zn  0.9439  0.9439  0.0000
Ni  0.3693  0.3693  0.0000
Ni  0.6307  0.6307  0.0000

Computed properties:
Energy of formation ... -33 kJ/mol of formula units
Space-group type ... No. 139
DOS(E_F) ... 2.1 states/eV/f.u.

=====

4.
## CoPt3Se8 (PBE-GGA)

Data for CoPt3Se8 after structural relaxation.

abc: 7.1026 7.1026 7.1689
angles: 117.30 117.30 63.07
Positions (direct):
Co  0.0000  0.0000  0.0000
Pt  0.0000  0.5000  0.5000
Pt  0.5000  0.0000  0.5000
Pt  0.5000  0.5000  0.0000
Se  0.2341  0.2341  0.2460
Se  0.2340  0.7583  0.7703
Se  0.2417  0.7660  0.2297
Se  0.2548  0.2548  0.7408
Se  0.7452  0.7452  0.2592
Se  0.7583  0.2340  0.7703
Se  0.7660  0.2417  0.2297
Se  0.7659  0.7659  0.7540

Computed properties:
Space-group type ... No. 12
Uncorrected formation energy ... -33.2 kJ/mol of atoms
DOS(E_F) ... 4.8 states/eV/f.u.

=====

5.
## Ca2PCl (PBE-GGA)

Data for Ca2PCl after structural relaxation.

abc: 7.6816 7.6816 7.6816
angles: 151.47 150.59 41.43
Positions (direct):
Ca  0.0000  0.0000  0.0000
Ca  0.7100  0.2100  0.5000
P  0.5686  0.5686  0.0000
Cl  0.3107  0.8107  0.5000

Computed properties:
Space-group type ... No. 44
Uncorrected formation energy ... -137.5 kJ/mol of atoms

=====

6.
## Y2SiPt (PBE-GGA)

Data for Y2SiPt after structural relaxation.

abc: 4.1756 5.7328 5.7328
angles: 40.91 90.00 90.00
Positions (direct):
Y  0.0000  0.0000  0.0000
Y  0.5000  0.2825  0.2825
Si  0.0000  0.7163  0.7163
Pt  0.5000  0.5647  0.5647

Computed properties:
Space-group type ... No. 38
Uncorrected formation energy ... -100.8 kJ/mol of atoms
DOS(E_F) ... 3.2 states/eV/f.u.

=====

7.
## NaGa2Rh (PBE-GGA)

Data for NaGa2Rh after structural relaxation.

abc: 5.9636 5.9636 5.9636
angles: 42.14 42.14 42.14
Positions (direct):
Na  0.0000  0.0000  0.0000
Ga  0.5401  0.5401  0.5401
Ga  0.8068  0.8068  0.8068
Rh  0.1813  0.1813  0.1813

Computed properties:
Energy of formation ... -110 kJ/mol of formula units
Space-group type ... No. 160
DOS(E_F) ... 1.8 states/eV/f.u.

=====

8.
## BaSrSCl2 (PBE-GGA)

Data for BaSrSCl2 after structural relaxation.

abc: 5.4418 5.4418 5.7693
angles: 90.00 90.00 90.00
Positions (direct):
Ba  0.0000  0.0000  0.0000
Sr  0.5000  0.5000  0.5000
S  0.5000  0.5000  0.0000
Cl  0.0000  0.5000  0.5000
Cl  0.5000  0.0000  0.5000

Computed properties:
Space-group type ... No. 123
Uncorrected formation energy ... -193.9 kJ/mol of atoms
DOS(E_F) ... 0.0 states/eV/f.u.

=====

9.
## LiPdI (PBE-GGA)

Data for LiPdI after structural relaxation.

abc: 9.1842 4.4345 6.4474
angles: 90.00 90.00 90.00
Positions (direct):
Li  0.1475  0.2500  0.2424
Li  0.3525  0.7500  0.7424
Li  0.6475  0.2500  0.2576
Li  0.8525  0.7500  0.7576
Pd  0.0961  0.7500  0.9736
Pd  0.4039  0.2500  0.4736
Pd  0.5961  0.7500  0.5264
Pd  0.9039  0.2500  0.0264
I  0.1369  0.2500  0.7125
I  0.3631  0.7500  0.2125
I  0.6369  0.2500  0.7875
I  0.8631  0.7500  0.2875

Computed properties:
Space-group type ... No. 62
Uncorrected formation energy ... -49.1 kJ/mol of atoms
DOS(E_F) ... 0.0 states/eV/f.u.

=====

10.
## Li2SmBr6 (PBE-GGA)

Data for Li2SmBr6 after structural relaxation.

abc: 7.1929 7.1929 10.1102
angles: 104.58 104.58 35.74
Positions (direct):
Li  0.2107  0.2107  0.1622
Li  0.7893  0.7893  0.8378
Sm  0.0000  0.0000  0.5000
Br  0.0474  0.0474  0.2484
Br  0.3336  0.3336  0.9621
Br  0.3562  0.3562  0.4046
Br  0.6438  0.6438  0.5954
Br  0.6664  0.6664  0.0379
Br  0.9526  0.9526  0.7516

Computed properties:
Space-group type ... No. 12
Uncorrected formation energy ... -132.1 kJ/mol of atoms
DOS(E_F) ... 2.7 states/eV/f.u.

=====

11.
## CaGa2H (PBE-GGA)

Data for CaGa2H after structural relaxation.

abc: 5.9804 5.9804 5.9804
angles: 118.88 118.88 91.95
Positions (direct):
Ca  0.0000  0.0000  0.0000
Ca  0.7500  0.2500  0.5000
Ga  0.3030  0.6250  0.1780
Ga  0.3750  0.5530  0.6780
Ga  0.4470  0.1250  0.8220
Ga  0.8750  0.6970  0.3220
H  0.2500  0.7500  0.5000
H  0.5000  0.5000  0.0000

Computed properties:
Final energy ... -11.26 eV/f.u.
Space-group type ... No. 122
DOS(E_F) ... 1.8 states/eV/f.u.

=====

12.
## Li2RuSe (PBE-GGA)

Data for Li2RuSe after structural relaxation.

abc: 2.7236 2.7236 8.4923
angles: 90.00 90.00 106.12
Positions (direct):
Li  0.0000  0.0000  0.2478
Li  0.0000  0.0000  0.7522
Ru  0.5000  0.5000  0.0000
Se  0.5000  0.5000  0.5000

Computed properties:
Space-group type ... No. 65
Uncorrected formation energy ... -5.1 kJ/mol of atoms
DOS(E_F) ... 2.6 states/eV/f.u.